VASP calculation (PBE-GGA) on a geometry-optimized BaHfTe structure.

Unit cell a=5.3242 b=5.3242 c=5.3242 alpha=60.00 beta=60.00 gamma=60.00
With the nearest neighbours (Å) after each atom.
Atoms (fractional coordinates):
Te: 0.0000 0.0000 0.0000  4 Ba 3.26, 4 Hf 3.26
Hf: 0.7500 0.7500 0.7500  4 Te 3.26
Ba: 0.2500 0.2500 0.2500  4 Te 3.26

Properties
The total energy is -4.786 eV/atom. The total magnetic moment is 2.00 μB per formula unit. The excess energy over the best structure of this formula in the dataset is 0.00 eV/f.u. The space group is F-43m, No. 216. As for the crystal system: cubic.